[1]
A plane-wave DFT calculation with PBE was carried out for crystalline ThCu2Ni at its relaxed geometry.

Cell: 4.0948 5.1244 6.9929 Å, 90.00 90.00 113.55°
Fractional coordinates of all 8 atoms:
Cu: 0.6402 0.2804 0.4413
Cu: 0.3598 0.7196 0.9413
Th: 0.9278 0.8556 0.2500
Ni: 0.7869 0.5738 0.7500
Cu: 0.6402 0.2804 0.0587
Th: 0.0722 0.1444 0.7500
Ni: 0.2131 0.4262 0.2500
Cu: 0.3598 0.7196 0.5587

Fermi-level density of states: 0.5827 states/eV per atom
Energy relative to the elements: -0.274 eV/atom
Total magnetic moment: 0.00 μB per cell
E: -5.62 eV per atom
Space group: Cmcm, No. 63

***

[2]
A plane-wave DFT calculation with PBE was carried out for crystalline Th3CuNi at its relaxed geometry.

Cell: 4.7984 8.0685 7.9278 Å, 120.59 90.00 90.00°
Fractional coordinates of all 10 atoms:
Ni: 0.5000 0.9130 0.8260
Th: 0.5000 0.6866 0.0000
Th: 0.5000 0.5000 0.5000
Cu: 0.0000 0.6159 0.2317
Ni: 0.5000 0.0870 0.1740
Cu: 0.0000 0.3841 0.7683
Th: 0.5000 0.0000 0.5000
Th: 0.5000 0.3134 0.0000
Th: 0.0000 0.8420 0.6840
Th: 0.0000 0.1580 0.3160

Fermi-level density of states: 1.1572 states/eV per atom
Energy relative to the elements: 0.129 eV/atom
Total magnetic moment: 0.00 μB per cell
E: -6.30 eV per atom
Space group: Cmmm, No. 65

***

[3]
A plane-wave DFT calculation with PBE was carried out for crystalline Th2Cu2Ni3 at its relaxed geometry.

Cell: 3.9843 6.7048 5.1587 Å, 107.27 112.72 90.00°
Fractional coordinates of all 7 atoms:
Ni: 0.6618 0.2188 0.3236
Cu: 0.8696 0.5729 0.7393
Ni: 0.0000 0.0000 0.0000
Cu: 0.1304 0.4271 0.2607
Ni: 0.3382 0.7812 0.6764
Th: 0.6244 0.7796 0.2488
Th: 0.3756 0.2204 0.7512

Fermi-level density of states: 0.6540 states/eV per atom
Energy relative to the elements: -0.326 eV/atom
Total magnetic moment: 0.00 μB per cell
E: -6.09 eV per atom
Space group: C2/m, No. 12

***

[4]
A plane-wave DFT calculation with PBE was carried out for crystalline Th2CuNi9 at its relaxed geometry.

Cell: 4.9546 4.9546 8.6102 Å, 73.28 73.28 60.00°
Last column: magnetic moment on the atom in μB.
Fractional coordinates of all 12 atoms:
Ni: 0.4189 0.4189 0.2411  0.11
Ni: 0.3330 0.3330 0.0009  0.37
Ni: 0.4189 0.9212 0.2411  0.11
Ni: 0.5811 0.0788 0.7589  0.11
Ni: 0.9212 0.4189 0.2411  0.11
Th: 0.8700 0.8700 0.3899  -0.04
Ni: 0.5000 0.5000 0.5000  0.02
Ni: 0.5811 0.5811 0.7589  0.11
Th: 0.1300 0.1300 0.6101  -0.04
Ni: 0.6670 0.6670 0.9991  0.37
Ni: 0.0788 0.5811 0.7589  0.11
Cu: 0.0000 0.0000 0.0000  0.01

Fermi-level density of states: 0.9937 states/eV per atom
Energy relative to the elements: -0.169 eV/atom
Total magnetic moment: 1.23 μB per cell
E: -6.08 eV per atom
Space group: R-3m, No. 166

***

[5]
A plane-wave DFT calculation with PBE was carried out for crystalline ThCu6Ni4 at its relaxed geometry.

Cell: 6.1373 6.1373 6.1373 Å, 89.18 120.47 120.47°
Fractional coordinates of all 11 atoms:
Ni: 0.0000 0.1017 0.5553
Ni: 0.5463 0.4447 0.4447
Ni: 0.4537 0.8983 0.8983
Cu: 0.2951 0.5499 0.5499
Cu: 0.5000 0.0000 0.5000
Cu: 0.0000 0.4501 0.7452
Cu: 0.5000 0.5000 0.0000
Th: 0.0000 0.0000 0.0000
Cu: 0.7049 0.2548 0.2548
Ni: 0.0000 0.5553 0.1017
Cu: 0.0000 0.7452 0.4501

Fermi-level density of states: 0.4176 states/eV per atom
Energy relative to the elements: 0.171 eV/atom
Total magnetic moment: 0.00 μB per cell
E: -4.84 eV per atom
Space group: I-42m, No. 121

***

[6]
A plane-wave DFT calculation with PBE was carried out for crystalline ThCu2Ni4 at its relaxed geometry.

Cell: 4.8977 5.0772 5.0772 Å, 76.60 61.09 61.09°
Fractional coordinates of all 7 atoms:
Cu: 0.7497 0.5002 0.5002
Ni: 0.6944 0.6118 0.9998
Ni: 0.3056 0.0002 0.3882
Ni: 0.6945 0.9998 0.6118
Ni: 0.3056 0.3882 0.0002
Th: 0.0000 0.0000 0.0000
Cu: 0.2503 0.4998 0.4998

Fermi-level density of states: 0.6400 states/eV per atom
Energy relative to the elements: -0.244 eV/atom
Total magnetic moment: 0.00 μB per cell
E: -5.78 eV per atom
Space group: Immm, No. 71